Density functional theory data (PBE) for an optimized crystal structure of InGeF2.

Summary:
Excess energy over the best structure of this formula in the dataset, kJ/mol of atoms: 35.1
V, Å³ per atom: 16.558
Calculated total energy, eV/atom: -3.8092
Uncorrected formation energy, eV per atom: -1.035

Lattice parameters (Å, degrees): 4.5414 4.5414 4.5414 60.00 60.00 60.00
Last column: nearest neighbours and their distance in Å.
Atoms (fractional coordinates):
Ge (0.0000, 0.0000, 0.0000)  8 F 2.78
F (0.2500, 0.2500, 0.2500)  4 Ge 2.78, 4 In 2.78
F (0.7500, 0.7500, 0.7500)  4 Ge 2.78, 4 In 2.78
In (0.5000, 0.5000, 0.5000)  8 F 2.78

Density functional theory data (PBE) for an optimized crystal structure of ErSc3Sn3.

Summary:
V, Å³ per atom: 24.170
Formation energy from the elements, kJ/mol of atoms: -49.5
Calculated total energy, eV/atom: -5.5934

Lattice parameters (Å, degrees): 5.2190 8.6525 8.6525 120.00 90.00 90.00
Last column: nearest neighbours and their distance in Å.
Atoms (fractional coordinates):
Er (0.2500, 0.6667, 0.3333)  9 Sn 3.17-3.34, 3 Sc 3.38
Er (0.7500, 0.3333, 0.6667)  9 Sn 3.17-3.34, 3 Sc 3.38
Sc (0.2500, 0.7774, 0.7674)  3 Sn 2.87-3.08
Sc (0.2500, 0.2326, 0.0100)  3 Sn 2.87-3.08
Sc (0.2500, 0.9900, 0.2226)  3 Sn 2.87-3.08
Sc (0.7500, 0.2226, 0.2326)  3 Sn 2.87-3.08
Sc (0.7500, 0.7674, 0.9900)  3 Sn 2.87-3.08
Sc (0.7500, 0.0100, 0.7774)  3 Sn 2.87-3.08
Sn (0.7500, 0.6296, 0.5537)  3 Sc 2.87-3.08, 1 Er 3.17
Sn (0.7500, 0.4463, 0.0760)  3 Sc 2.87-3.08, 1 Er 3.17
Sn (0.7500, 0.9240, 0.3704)  3 Sc 2.87-3.08, 1 Er 3.17
Sn (0.2500, 0.3704, 0.4463)  3 Sc 2.87-3.08, 1 Er 3.17
Sn (0.2500, 0.5537, 0.9240)  3 Sc 2.87-3.08, 1 Er 3.17
Sn (0.2500, 0.0760, 0.6296)  3 Sc 2.87-3.08, 1 Er 3.17

Density functional theory data (PBE) for an optimized crystal structure of Li2TlIn.

Summary:
V, Å³ per atom: 25.907
Formation energy from the elements, kJ/mol of atoms: 4.9
Calculated total energy, eV/atom: -2.1825

Lattice parameters (Å, degrees): 6.4474 6.4474 6.4474 61.24 150.49 127.66
Last column: nearest neighbours and their distance in Å.
Atoms (fractional coordinates):
Li (0.0000, 0.2506, 0.2506)  1 Tl 2.77, 1 In 2.78
Li (0.0000, 0.7494, 0.7494)  1 Tl 2.77, 1 In 2.78
Tl (0.0000, 0.5000, 0.5000)  2 Li 2.77
In (0.0000, 0.0000, 0.0000)  2 Li 2.78

Density functional theory data (PBE) for an optimized crystal structure of Rh3Br.

Summary:
Excess energy over the best structure of this formula in the dataset, kJ/mol of atoms: 12.9
V, Å³ per atom: 15.641
Calculated total energy, eV/atom: -5.3177
Uncorrected formation energy, eV per atom: 0.614

Lattice parameters (Å, degrees): 4.6770 4.6770 2.8601 90.00 90.00 90.00
Last column: nearest neighbours and their distance in Å.
Atoms (fractional coordinates):
Rh (0.5000, 0.0000, 0.5000)  6 Rh 2.74-2.86, 4 Br 2.74
Rh (0.5000, 0.5000, 0.0000)  10 Rh 2.74-2.86
Rh (0.0000, 0.5000, 0.5000)  4 Br 2.74, 6 Rh 2.74-2.86
Br (0.0000, 0.0000, 0.0000)  8 Rh 2.74, 2 Br 2.86

Density functional theory data (PBE) for an optimized crystal structure of Tm3Fe7Os2.

Summary:
V, Å³ per atom: 15.251
Formation energy from the elements, kJ/mol of atoms: -10.4
Calculated total energy, eV/atom: -8.0336

Lattice parameters (Å, degrees): 5.0196 5.0196 8.8737 73.57 73.57 60.00
Last column: nearest neighbours and their distance in Å.
Atoms (fractional coordinates):
Tm (0.0000, 0.0000, 0.0000)  6 Os 2.90
Tm (0.8580, 0.8580, 0.4260)  12 Fe 2.90-3.05, 3 Tm 3.15
Tm (0.1420, 0.1420, 0.5740)  12 Fe 2.90-3.05, 3 Tm 3.15
Fe (0.5000, 0.5000, 0.5000)  6 Fe 2.52
Fe (0.9157, 0.4152, 0.2539)  5 Fe 2.51-2.52, 2 Os 2.56-2.59
Fe (0.4152, 0.9157, 0.2539)  5 Fe 2.51-2.52, 2 Os 2.56-2.59
Fe (0.4152, 0.4152, 0.2539)  5 Fe 2.51-2.52, 2 Os 2.56-2.59
Fe (0.0843, 0.5848, 0.7461)  5 Fe 2.51-2.52, 2 Os 2.56-2.59
Fe (0.5848, 0.5848, 0.7461)  5 Fe 2.51-2.52, 2 Os 2.56-2.59
Fe (0.5848, 0.0843, 0.7461)  5 Fe 2.51-2.52, 2 Os 2.56-2.59
Os (0.6674, 0.6674, 0.9978)  6 Fe 2.56-2.59
Os (0.3326, 0.3326, 0.0022)  6 Fe 2.56-2.59

Density functional theory data (PBE) for an optimized crystal structure of Pr2Zn6In.

Summary:
V, Å³ per atom: 20.354
Formation energy from the elements, kJ/mol of atoms: -30.2
Calculated total energy, eV/atom: -2.5283

Lattice parameters (Å, degrees): 5.9413 5.9670 5.9670 120.00 90.00 90.00
Last column: nearest neighbours and their distance in Å.
Atoms (fractional coordinates):
Pr (0.8428, 0.6667, 0.3333)  12 Zn 3.20-3.39, 3 In 3.57
Pr (0.1572, 0.3333, 0.6667)  12 Zn 3.20-3.39, 3 In 3.57
Zn (0.3500, 0.3648, 0.1824)  4 Zn 2.59-2.70, 1 In 2.81
Zn (0.3500, 0.8176, 0.6351)  4 Zn 2.59-2.70, 1 In 2.81
Zn (0.3501, 0.8176, 0.1824)  4 Zn 2.59-2.70, 1 In 2.81
Zn (0.6500, 0.6352, 0.8176)  4 Zn 2.59-2.70, 1 In 2.81
Zn (0.6500, 0.1824, 0.3649)  4 Zn 2.59-2.70, 1 In 2.81
Zn (0.6499, 0.1824, 0.8176)  4 Zn 2.59-2.70, 1 In 2.81
In (0.0000, 0.0000, 0.0000)  6 Zn 2.81

We obtain Fermi-level density of states values of 1.96 12.18 1.40 6.94 7.67 5.79 states/eV/cell for the records listed above, in that order.